A plane-wave DFT calculation with PBE was carried out for an optimized crystal structure of BaSr2Sb.

Calculated values
**Space-group type**: Imm2, No. 44
**E_tot**: -2.86 eV per atom
**Density of states at the Fermi level**: 0.782 states/eV/atom

Lattice parameters (Å, degrees): 4.3178 5.4030 16.4790 90.00 90.00 90.00
Fractional positions:
Ba: 0.0000 0.0000 0.0000
Ba: 0.5000 0.5000 0.5000
Sr: 0.0000 0.0000 0.3343
Sr: 0.0000 0.5000 0.1702
Sr: 0.5000 0.0000 0.6702
Sr: 0.5000 0.5000 0.8343
Sb: 0.0000 0.5000 0.6719
Sb: 0.5000 0.0000 0.1719